First-principles (meta-GGA SCAN) data for a PBEsol-optimized structure of YTa2Al, as listed in the Alexandria database.

Cell lengths 2.9665, 5.2366, 5.3130 Å; angles 101.66, 106.21, 90.00 degrees
With the nearest neighbours (Å) after each atom.
Fractional positions:
Y: 0.5000 0.0000 0.0000  2 Y 2.97, 4 Al 3.01, 6 Ta 3.03-3.17
Al: 0.0000 0.5000 0.0000  4 Ta 2.84, 2 Al 2.97, 4 Y 3.01
Ta: 0.2668 0.2764 0.5335  2 Al 2.84, 4 Ta 2.85-2.97, 3 Y 3.03-3.17
Ta: 0.7332 0.7236 0.4665  2 Al 2.84, 4 Ta 2.85-2.97, 3 Y 3.03-3.17

Results
formation energy = 0.138 eV per atom



First-principles (meta-GGA SCAN) data for a PBEsol-optimized structure of YTaAl2, as listed in the Alexandria database.

Cell lengths 3.4734, 3.4734, 6.3902 Å; angles 90.00, 90.00, 90.00 degrees
With the nearest neighbours (Å) after each atom.
Fractional positions:
Y: 0.5000 0.5000 0.5000  8 Al 3.10, 2 Ta 3.20, 4 Y 3.47
Al: 0.0000 0.0000 0.7970  1 Al 2.59, 4 Ta 2.78
Al: 0.0000 0.0000 0.2030  1 Al 2.59, 4 Ta 2.78
Ta: 0.5000 0.5000 0.0000  8 Al 2.78

Results
formation energy = -0.189 eV per atom



First-principles (meta-GGA SCAN) data for a PBEsol-optimized structure of YTaAl2, as listed in the Alexandria database.

Cell lengths 2.9685, 5.1461, 5.1461 Å; angles 107.74, 90.00, 90.00 degrees
With the nearest neighbours (Å) after each atom.
Fractional positions:
Y: 0.5000 0.5000 0.5000  2 Y 2.97, 8 Al 2.97, 2 Ta 3.03
Al: 0.0000 0.5000 0.0000  4 Al 2.97-3.03, 4 Ta 2.97, 4 Y 2.97
Al: 0.0000 0.0000 0.5000  4 Al 2.97-3.03, 4 Y 2.97, 4 Ta 2.97
Ta: 0.5000 0.0000 0.0000  2 Ta 2.97, 8 Al 2.97, 2 Y 3.03

Results
formation energy = -0.108 eV per atom



First-principles (meta-GGA SCAN) data for a PBEsol-optimized structure of YTa2Al, as listed in the Alexandria database.

Cell lengths 4.7145, 4.7145, 10.1974 Å; angles 103.37, 103.37, 90.00 degrees
With the nearest neighbours (Å) after each atom.
Fractional positions:
Y: 0.0000 0.0000 0.0000  4 Al 3.33, 8 Ta 3.57
Y: 0.2500 0.7500 0.5000  4 Al 3.33, 8 Ta 3.57
Al: 0.5000 0.5000 0.0000  4 Ta 2.68
Al: 0.7500 0.2500 0.5000  4 Ta 2.68
Ta: 0.6250 0.3750 0.7500  2 Ta 2.36
Ta: 0.1250 0.3750 0.7500  2 Ta 2.36
Ta: 0.6250 0.8750 0.2500  2 Ta 2.36
Ta: 0.6250 0.3750 0.2500  2 Ta 2.36

Results
formation energy = 0.850 eV per atom



First-principles (meta-GGA SCAN) data for a PBEsol-optimized structure of Ta2AlZn, as listed in the Alexandria database.

Cell lengths 2.8659, 2.8659, 9.4347 Å; angles 81.01, 81.01, 60.29 degrees
With the nearest neighbours (Å) after each atom.
Fractional positions:
Zn: 0.5000 0.5000 0.5000  6 Ta 2.83-2.84, 6 Zn 2.87-2.88
Al: 0.0000 0.0000 0.0000  6 Ta 2.86-2.87, 6 Al 2.87-2.88
Ta: 0.2490 0.2490 0.2518  3 Zn 2.83-2.84, 3 Al 2.86-2.87, 6 Ta 2.87-2.88
Ta: 0.7510 0.7510 0.7482  3 Zn 2.83-2.84, 3 Al 2.86-2.87, 6 Ta 2.87-2.88

Results
formation energy = 0.039 eV per atom



First-principles (meta-GGA SCAN) data for a PBEsol-optimized structure of ZrTa4Al, as listed in the Alexandria database.

Cell lengths 5.4461, 5.4461, 5.4461 Å; angles 60.00, 60.00, 60.00 degrees
With the nearest neighbours (Å) after each atom.
Fractional positions:
Al: 0.0000 0.0000 0.0000  12 Ta 3.20, 4 Zr 3.34
Ta: 0.3761 0.3761 0.3761  6 Ta 2.70-2.75
Ta: 0.3761 0.3761 0.8716  6 Ta 2.70-2.75
Ta: 0.8716 0.3761 0.3761  6 Ta 2.70-2.75
Ta: 0.3761 0.8716 0.3761  6 Ta 2.70-2.75
Zr: 0.7500 0.7500 0.7500  12 Ta 3.19, 4 Al 3.34

Results
formation energy = 0.137 eV per atom



First-principles (meta-GGA SCAN) data for a PBEsol-optimized structure of ZrTaAl4, as listed in the Alexandria database.

Cell lengths 5.1739, 5.1739, 5.1739 Å; angles 60.00, 60.00, 60.00 degrees
With the nearest neighbours (Å) after each atom.
Fractional positions:
Al: 0.3751 0.3751 0.3751  6 Al 2.58-2.59
Al: 0.3751 0.3751 0.8747  6 Al 2.58-2.59
Al: 0.8747 0.3751 0.3751  6 Al 2.58-2.59
Al: 0.3751 0.8747 0.3751  6 Al 2.58-2.59
Zr: 0.0000 0.0000 0.0000  12 Al 3.03, 4 Ta 3.17
Ta: 0.7500 0.7500 0.7500  12 Al 3.03, 4 Zr 3.17

Results
formation energy = -0.374 eV per atom



First-principles (meta-GGA SCAN) data for a PBEsol-optimized structure of ZrTaAl3, as listed in the Alexandria database.

Cell lengths 4.7967, 4.7967, 4.7967 Å; angles 90.00, 90.00, 90.00 degrees
With the nearest neighbours (Å) after each atom.
Fractional positions:
Al: 0.0000 0.5000 0.0000  2 Ta 2.40
Al: 0.0000 0.0000 0.5000  2 Ta 2.40
Al: 0.5000 0.0000 0.0000  2 Ta 2.40
Zr: 0.5000 0.5000 0.5000  12 Al 3.39
Ta: 0.0000 0.0000 0.0000  6 Al 2.40

Results
formation energy = 0.710 eV per atom



First-principles (meta-GGA SCAN) data for a PBEsol-optimized structure of Zr2TaAl2, as listed in the Alexandria database.

Cell lengths 3.6712, 7.1639, 7.1639 Å; angles 90.00, 90.00, 90.00 degrees
With the nearest neighbours (Å) after each atom.
Fractional positions:
Al: 0.0000 0.3744 0.8744  1 Al 2.54, 2 Zr 2.72, 2 Ta 2.83
Al: 0.0000 0.8744 0.6256  1 Al 2.54, 2 Zr 2.72, 2 Ta 2.83
Al: 0.0000 0.6256 0.1256  1 Al 2.54, 2 Zr 2.72, 2 Ta 2.83
Al: 0.0000 0.1256 0.3744  1 Al 2.54, 2 Zr 2.72, 2 Ta 2.83
Zr: 0.5000 0.1764 0.6764  6 Al 2.72-2.86
Zr: 0.5000 0.6764 0.8236  6 Al 2.72-2.86
Zr: 0.5000 0.8236 0.3236  6 Al 2.72-2.86
Zr: 0.5000 0.3236 0.1764  6 Al 2.72-2.86
Ta: 0.0000 0.0000 0.0000  4 Al 2.83
Ta: 0.0000 0.5000 0.5000  4 Al 2.83

Results
formation energy = -0.303 eV per atom



First-principles (meta-GGA SCAN) data for a PBEsol-optimized structure of TbAl4, as listed in the Alexandria database.

Cell lengths 4.4263, 6.1975, 7.7941 Å; angles 113.43, 106.50, 90.00 degrees
With the nearest neighbours (Å) after each atom.
Fractional positions:
Tb: 0.1120 0.8620 0.2240  13 Al 3.06-3.12
Tb: 0.8880 0.1380 0.7760  13 Al 3.06-3.12
Al: 0.5000 0.0000 0.0000  2 Al 2.71
Al: 0.5000 0.5000 0.0000  2 Al 2.71
Al: 0.8869 0.6369 0.7737  10 Al 2.84-3.11, 3 Tb 3.06-3.10
Al: 0.1131 0.3631 0.2263  10 Al 2.84-3.11, 3 Tb 3.06-3.10
Al: 0.3015 0.7679 0.6031  7 Al 2.62-2.89
Al: 0.3015 0.3352 0.6031  7 Al 2.62-2.89
Al: 0.6985 0.6648 0.3969  7 Al 2.62-2.89
Al: 0.6985 0.2321 0.3969  7 Al 2.62-2.89

Results
formation energy = -0.368 eV per atom



First-principles (meta-GGA SCAN) data for a PBEsol-optimized structure of Tb3Al2, as listed in the Alexandria database.

Cell lengths 7.4992, 8.1735, 8.1735 Å; angles 90.00, 90.00, 90.00 degrees
With the nearest neighbours (Å) after each atom.
Fractional positions:
Tb: 0.7500 0.0000 0.5000  4 Al 3.29, 8 Tb 3.49-3.64
Tb: 0.2500 0.0000 0.5000  4 Al 3.29, 8 Tb 3.49-3.64
Tb: 0.2500 0.5000 0.0000  4 Al 3.29, 8 Tb 3.49-3.64
Tb: 0.7500 0.5000 0.0000  4 Al 3.29, 8 Tb 3.49-3.64
Tb: 0.0000 0.1479 0.1479  6 Al 3.05-3.19
Tb: 0.0000 0.8521 0.8521  6 Al 3.05-3.19
Tb: 0.5000 0.3521 0.6479  6 Al 3.05-3.19
Tb: 0.5000 0.6479 0.3521  6 Al 3.05-3.19
Tb: 0.5000 0.2015 0.2015  6 Al 3.07-3.09
Tb: 0.5000 0.7985 0.7985  6 Al 3.07-3.09
Tb: 0.0000 0.2985 0.7015  6 Al 3.07-3.09
Tb: 0.0000 0.7015 0.2985  6 Al 3.07-3.09
Al: 0.8072 0.3800 0.3800  2 Al 2.77-2.89, 4 Tb 3.05-3.09
Al: 0.8072 0.6200 0.6200  2 Al 2.77-2.89, 4 Tb 3.05-3.09
Al: 0.3072 0.1200 0.8800  2 Al 2.77-2.89, 4 Tb 3.05-3.09
Al: 0.3072 0.8800 0.1200  2 Al 2.77-2.89, 4 Tb 3.05-3.09
Al: 0.1928 0.3800 0.3800  2 Al 2.77-2.89, 4 Tb 3.05-3.09
Al: 0.1928 0.6200 0.6200  2 Al 2.77-2.89, 4 Tb 3.05-3.09
Al: 0.6928 0.1200 0.8800  2 Al 2.77-2.89, 4 Tb 3.05-3.09
Al: 0.6928 0.8800 0.1200  2 Al 2.77-2.89, 4 Tb 3.05-3.09

Results
formation energy = -0.341 eV per atom



First-principles (meta-GGA SCAN) data for a PBEsol-optimized structure of Tb2Al, as listed in the Alexandria database.

Cell lengths 5.0515, 6.4519, 9.4040 Å; angles 90.00, 90.00, 90.00 degrees
With the nearest neighbours (Å) after each atom.
Fractional positions:
Tb: 0.2500 0.3115 0.5740  5 Al 3.05-3.35, 2 Tb 3.37
Tb: 0.7500 0.6885 0.4260  5 Al 3.05-3.35, 2 Tb 3.37
Tb: 0.2500 0.8115 0.9260  5 Al 3.05-3.35, 2 Tb 3.37
Tb: 0.7500 0.1885 0.0740  5 Al 3.05-3.35, 2 Tb 3.37
Tb: 0.2500 0.4718 0.2094  3 Al 3.11-3.15, 5 Tb 3.32-3.45
Tb: 0.7500 0.5282 0.7906  3 Al 3.11-3.15, 5 Tb 3.32-3.45
Tb: 0.2500 0.9718 0.2906  3 Al 3.11-3.15, 5 Tb 3.32-3.45
Tb: 0.7500 0.0282 0.7094  3 Al 3.11-3.15, 5 Tb 3.32-3.45
Al: 0.2500 0.7934 0.6024  8 Tb 3.05-3.35
Al: 0.7500 0.2066 0.3976  8 Tb 3.05-3.35
Al: 0.2500 0.2934 0.8976  8 Tb 3.05-3.35
Al: 0.7500 0.7066 0.1024  8 Tb 3.05-3.35

Results
formation energy = -0.311 eV per atom



> Number 6 is which compound?

ZrTa4Al